1.
First-principles (meta-GGA SCAN) data for a PBEsol-optimized structure of Y3BiSe, as listed in the Alexandria database.

Geometry as CIF:
```
data_Y3BiSe
_symmetry_space_group_name_H-M 'P m -3 m'
_symmetry_Int_Tables_number 221
_symmetry_space_group_name_Hall '-P 4 2 3'
_cell_length_a 5.2799
_cell_length_b 5.2799
_cell_length_c 5.2799
_cell_angle_alpha 90.00
_cell_angle_beta 90.00
_cell_angle_gamma 90.00
loop_
_atom_site_label
_atom_site_fract_x
_atom_site_fract_y
_atom_site_fract_z
_atom_site_occupancy
Y1 0.0000 0.0000 0.5000 1
Bi1 0.5000 0.5000 0.5000 1
Se1 0.0000 0.0000 0.0000 1
```

Output
- Fermi-level density of states (states/eV/f.u.) = 6.2
- energy relative to the elements, uncorrected (meV/atom) = -760
- total DFT energy (no corrections) (eV/atom) = -37.198

=====

2.
First-principles (meta-GGA SCAN) data for a PBEsol-optimized structure of CrFe3, as listed in the Alexandria database.

Geometry as CIF:
```
data_CrFe3
_symmetry_space_group_name_H-M 'R -3 m'
_symmetry_Int_Tables_number 166
_symmetry_space_group_name_Hall '-R 3 2"'
_cell_length_a 7.8780
_cell_length_b 7.8780
_cell_length_c 2.4071
_cell_angle_alpha 90.00
_cell_angle_beta 90.00
_cell_angle_gamma 120.00
loop_
_atom_site_label
_atom_site_fract_x
_atom_site_fract_y
_atom_site_fract_z
_atom_site_occupancy
Cr1 0.0000 0.0000 0.0000 1
Fe1 0.0000 0.5000 0.0000 1
```

Output
- formation energy from the elements (meV per atom) = 52.3
- Fermi-level density of states (states/eV/f.u.) = 2.7
- total DFT energy (no corrections) (eV/atom) = -18.141

=====

3.
First-principles (meta-GGA SCAN) data for a PBEsol-optimized structure of Ag7PSe6, as listed in the Alexandria database.

Geometry as CIF:
```
data_Ag7PSe6
_symmetry_space_group_name_H-M 'P 21 3'
_symmetry_Int_Tables_number 198
_symmetry_space_group_name_Hall 'P 2ac 2ab 3'
_cell_length_a 10.6219
_cell_length_b 10.6219
_cell_length_c 10.6219
_cell_angle_alpha 90.00
_cell_angle_beta 90.00
_cell_angle_gamma 90.00
loop_
_atom_site_label
_atom_site_fract_x
_atom_site_fract_y
_atom_site_fract_z
_atom_site_occupancy
Ag1 0.0111 0.0113 0.2832 1
Ag2 0.0732 0.8962 0.7268 1
Ag3 0.1618 0.6618 0.8382 1
P1 0.2485 0.7515 0.2515 1
Se1 0.0263 0.5263 0.9737 1
Se2 0.1195 0.8598 0.1264 1
Se3 0.1289 0.3711 0.6289 1
Se4 0.2036 0.2036 0.2036 1
```

Output
- energy relative to the elements, uncorrected (meV/atom) = -132
- total DFT energy (no corrections) (eV/atom) = -25.164

=====

4.
First-principles (meta-GGA SCAN) data for a PBEsol-optimized structure of Co2TcSe, as listed in the Alexandria database.

Geometry as CIF:
```
data_Co2TcSe
_symmetry_space_group_name_H-M 'C 1 m 1'
_symmetry_Int_Tables_number 8
_cell_length_a 8.0098
_cell_length_b 2.7437
_cell_length_c 4.5817
_cell_angle_alpha 90.00
_cell_angle_beta 100.20
_cell_angle_gamma 90.00
loop_
_symmetry_equiv_pos_as_xyz
'x,y,z'
'x,-y,z'
'x+1/2,y+1/2,z'
'x+1/2,-y+1/2,z'
loop_
_atom_site_label
_atom_site_fract_x
_atom_site_fract_y
_atom_site_fract_z
_atom_site_occupancy
Co1 0.0000 0.0000 0.0000 1
Co2 0.2486 0.5000 0.2420 1
Tc1 0.4944 0.0000 0.4661 1
Se1 0.2546 0.0000 0.8025 1
```

Output
- Fermi-level density of states (states/eV/f.u.) = 2.9
- energy relative to the elements, uncorrected (meV/atom) = 441
- total DFT energy (no corrections) (eV/atom) = -21.996

=====

Record order is preserved below.
Total magnetization: 0.000, 1.438, 0.000, 0.372 μB/atom